# 1
A plane-wave DFT calculation with PBE was carried out for crystalline MgInNiPd at its relaxed geometry. Values from VASP.

Calculated values
Its total magnetization is 0.00 μB per formula unit. The calculation puts the formation enthalpy at 0 K at -0.410 eV per atom. Its crystal system is cubic.

Cell and atoms, written as Quantum ESPRESSO input:
```
&SYSTEM
  ibrav = 0, nat = 4, ntyp = 4
/
ATOMIC_SPECIES
Mg 24.30 Mg.upf
In 114.82 In.upf
Ni 58.69 Ni.upf
Pd 106.42 Pd.upf
CELL_PARAMETERS angstrom
0.0000 3.1789 3.1789
3.1789 0.0000 3.1789
3.1789 3.1789 0.0000
ATOMIC_POSITIONS crystal
Mg 0.0000 0.0000 0.0000
In 0.5000 0.5000 0.5000
Ni 0.7500 0.7500 0.7500
Pd 0.2500 0.2500 0.2500
```

=====

# 2
A plane-wave DFT calculation with PBE was carried out for crystalline GaHg2I at its relaxed geometry. Values from VASP.

Calculated values
Its total magnetization is 0.00 μB per formula unit. The raw formation energy is 0.047 eV/atom. Its crystal system is cubic.

Cell and atoms, written as Quantum ESPRESSO input:
```
&SYSTEM
  ibrav = 0, nat = 4, ntyp = 3
/
ATOMIC_SPECIES
Ga 69.72 Ga.upf
Hg 200.59 Hg.upf
I 126.90 I.upf
CELL_PARAMETERS angstrom
0.0000 4.0140 4.0140
4.0140 0.0000 4.0140
4.0140 4.0140 0.0000
ATOMIC_POSITIONS crystal
Ga 0.0000 0.0000 0.0000
Hg 0.2500 0.2500 0.2500
Hg 0.7500 0.7500 0.7500
I 0.5000 0.5000 0.5000
```

=====

# 3
A plane-wave DFT calculation with PBE was carried out for crystalline Dy3Ga4Pd2 at its relaxed geometry. Values from VASP.

Calculated values
Its total magnetization is 0.00 μB per formula unit. The calculation puts the formation enthalpy at 0 K at -0.729 eV per atom. Its crystal system is monoclinic.

Cell and atoms, written as Quantum ESPRESSO input:
```
&SYSTEM
  ibrav = 0, nat = 9, ntyp = 3
/
ATOMIC_SPECIES
Dy 162.50 Dy.upf
Ga 69.72 Ga.upf
Pd 106.42 Pd.upf
CELL_PARAMETERS angstrom
5.2599 -2.1490 0.0000
5.2599 2.1490 0.0000
-1.9222 0.0000 8.2110
ATOMIC_POSITIONS crystal
Dy 0.0000 0.0000 0.0000
Dy 0.3762 0.3762 0.6246
Dy 0.6238 0.6238 0.3754
Ga 0.0798 0.0798 0.6518
Ga 0.2982 0.2982 0.9333
Ga 0.7018 0.7018 0.0667
Ga 0.9202 0.9202 0.3482
Pd 0.3046 0.3046 0.2444
Pd 0.6954 0.6954 0.7556
```

=====

# 4
A plane-wave DFT calculation with PBE was carried out for crystalline Sr2InPd5Pt2 at its relaxed geometry. Values from VASP.

Calculated values
Its total magnetization is 0.00 μB per formula unit. The calculation puts the formation enthalpy at 0 K at -0.492 eV per atom. Its crystal system is tetragonal.

Cell and atoms, written as Quantum ESPRESSO input:
```
&SYSTEM
  ibrav = 0, nat = 20, ntyp = 4
/
ATOMIC_SPECIES
Sr 87.62 Sr.upf
In 114.82 In.upf
Pd 106.42 Pd.upf
Pt 195.08 Pt.upf
CELL_PARAMETERS angstrom
9.9726 0.0000 0.0000
0.0000 9.9726 0.0000
0.0000 0.0000 4.0213
ATOMIC_POSITIONS crystal
Sr 0.1714 0.3286 0.0000
Sr 0.3286 0.8286 0.0000
Sr 0.6714 0.1714 0.0000
Sr 0.8286 0.6714 0.0000
In 0.0000 0.0000 0.0000
In 0.5000 0.5000 0.0000
Pd 0.0000 0.5000 0.5000
Pd 0.0628 0.8033 0.5000
Pd 0.1967 0.0628 0.5000
Pd 0.3033 0.5628 0.5000
Pd 0.4372 0.3033 0.5000
Pd 0.5000 0.0000 0.5000
Pd 0.5628 0.6967 0.5000
Pd 0.6967 0.4372 0.5000
Pd 0.8033 0.9372 0.5000
Pd 0.9372 0.1967 0.5000
Pt 0.1259 0.6259 0.0000
Pt 0.3741 0.1259 0.0000
Pt 0.6259 0.8741 0.0000
Pt 0.8741 0.3741 0.0000
```

=====

# 5
A plane-wave DFT calculation with PBE was carried out for crystalline TiRe2MoN at its relaxed geometry. Values from VASP.

Calculated values
Its total magnetization is 0.00 μB per formula unit. The raw formation energy is 1.694 eV/atom. Its crystal system is tetragonal.

Cell and atoms, written as Quantum ESPRESSO input:
```
&SYSTEM
  ibrav = 0, nat = 5, ntyp = 4
/
ATOMIC_SPECIES
Ti 47.87 Ti.upf
Re 186.21 Re.upf
Mo 95.94 Mo.upf
N 14.01 N.upf
CELL_PARAMETERS angstrom
4.7292 0.0000 0.0000
0.0000 4.7292 0.0000
0.0000 0.0000 3.6438
ATOMIC_POSITIONS crystal
Ti 0.0000 0.0000 0.0000
Re 0.0000 0.5000 0.0000
Re 0.5000 0.0000 0.0000
Mo 0.5000 0.5000 0.5000
N 0.0000 0.0000 0.5000
```

=====

# 6
A plane-wave DFT calculation with PBE was carried out for crystalline CaTiB12 at its relaxed geometry. Values from VASP.

Calculated values
Its total magnetization is 1.82 μB per formula unit. The calculation puts the formation enthalpy at 0 K at -0.151 eV per atom. Its crystal system is tetragonal.

Cell and atoms, written as Quantum ESPRESSO input:
```
&SYSTEM
  ibrav = 0, nat = 14, ntyp = 3
/
ATOMIC_SPECIES
Ca 40.08 Ca.upf
Ti 47.87 Ti.upf
B 10.81 B.upf
CELL_PARAMETERS angstrom
4.1146 0.0000 0.0000
0.0000 4.1146 0.0000
0.0000 0.0000 8.2111
ATOMIC_POSITIONS crystal
Ca 0.0000 0.0000 0.0000
Ti 0.0000 0.0000 0.5000
B 0.2002 0.5000 0.2530
B 0.2002 0.5000 0.7470
B 0.5000 0.2002 0.2530
B 0.5000 0.2002 0.7470
B 0.5000 0.5000 0.1017
B 0.5000 0.5000 0.4016
B 0.5000 0.5000 0.5984
B 0.5000 0.5000 0.8983
B 0.5000 0.7998 0.2530
B 0.5000 0.7998 0.7470
B 0.7998 0.5000 0.2530
B 0.7998 0.5000 0.7470
```

=====

# 7
A plane-wave DFT calculation with PBE was carried out for crystalline LaHf at its relaxed geometry. Values from VASP.

Calculated values
Its total magnetization is 0.00 μB per formula unit. The calculation puts the formation enthalpy at 0 K at 0.299 eV per atom. Its crystal system is orthorhombic.

Cell and atoms, written as Quantum ESPRESSO input:
```
&SYSTEM
  ibrav = 0, nat = 6, ntyp = 2
/
ATOMIC_SPECIES
La 138.91 La.upf
Hf 178.49 Hf.upf
CELL_PARAMETERS angstrom
-1.6754 7.1053 3.8516
1.6754 -7.1053 3.8516
1.6754 7.1053 -3.8516
ATOMIC_POSITIONS crystal
La 0.0000 0.0000 0.0000
La 0.0701 0.7717 0.2984
La 0.4732 0.7717 0.7016
Hf 0.4068 0.4068 0.0000
Hf 0.5692 0.1722 0.3970
Hf 0.7752 0.1722 0.6030
```

=====

# 8
A plane-wave DFT calculation with PBE was carried out for crystalline MnGaRh3 at its relaxed geometry. Values from VASP.

Calculated values
Its total magnetization is 0.00 μB per formula unit. The calculation puts the formation enthalpy at 0 K at 0.779 eV per atom. Its crystal system is cubic.

Cell and atoms, written as Quantum ESPRESSO input:
```
&SYSTEM
  ibrav = 0, nat = 5, ntyp = 3
/
ATOMIC_SPECIES
Mn 54.94 Mn.upf
Ga 69.72 Ga.upf
Rh 102.91 Rh.upf
CELL_PARAMETERS angstrom
4.4414 0.0000 0.0000
0.0000 4.4414 0.0000
0.0000 0.0000 4.4414
ATOMIC_POSITIONS crystal
Mn 0.0000 0.0000 0.0000
Ga 0.5000 0.5000 0.5000
Rh 0.0000 0.0000 0.5000
Rh 0.0000 0.5000 0.0000
Rh 0.5000 0.0000 0.0000
```

=====

# 9
A plane-wave DFT calculation with PBE was carried out for crystalline CdSb2Se at its relaxed geometry. Values from VASP.

Calculated values
Its total magnetization is 0.00 μB per formula unit. The raw formation energy is 0.103 eV/atom. Its crystal system is trigonal.

Cell and atoms, written as Quantum ESPRESSO input:
```
&SYSTEM
  ibrav = 0, nat = 4, ntyp = 3
/
ATOMIC_SPECIES
Cd 112.41 Cd.upf
Sb 121.76 Sb.upf
Se 78.96 Se.upf
CELL_PARAMETERS angstrom
2.0321 1.1732 7.4920
-2.0321 1.1732 7.4920
0.0000 -2.3465 7.4920
ATOMIC_POSITIONS crystal
Cd 0.0000 0.0000 0.0000
Sb 0.2497 0.2497 0.2497
Sb 0.7503 0.7503 0.7503
Se 0.5000 0.5000 0.5000
```

=====

# 10
A plane-wave DFT calculation with PBE was carried out for crystalline Pu2FeSn at its relaxed geometry. Values from VASP.

Calculated values
Its total magnetization is 9.06 μB per formula unit. The calculation puts the formation enthalpy at 0 K at -0.051 eV per atom. Its crystal system is tetragonal.

Cell and atoms, written as Quantum ESPRESSO input:
```
&SYSTEM
  ibrav = 0, nat = 4, ntyp = 3
/
ATOMIC_SPECIES
Pu 244.00 Pu.upf
Fe 55.84 Fe.upf
Sn 118.71 Sn.upf
CELL_PARAMETERS angstrom
3.8547 0.0000 0.0000
0.0000 3.8547 0.0000
0.0000 0.0000 5.9652
ATOMIC_POSITIONS crystal
Pu 0.0000 0.0000 0.2346
Pu 0.0000 0.0000 0.7654
Fe 0.5000 0.5000 0.0000
Sn 0.5000 0.5000 0.5000
```

=====

# 11
A plane-wave DFT calculation with PBE was carried out for crystalline La2GdPa at its relaxed geometry. Values from VASP.

Calculated values
Its total magnetization is 7.70 μB per formula unit. The calculation puts the formation enthalpy at 0 K at 0.137 eV per atom. Its crystal system is tetragonal.

Cell and atoms, written as Quantum ESPRESSO input:
```
&SYSTEM
  ibrav = 0, nat = 4, ntyp = 3
/
ATOMIC_SPECIES
La 138.91 La.upf
Gd 157.25 Gd.upf
Pa 231.04 Pa.upf
CELL_PARAMETERS angstrom
3.4694 0.0000 0.0000
0.0000 3.4694 0.0000
0.0000 0.0000 10.5370
ATOMIC_POSITIONS crystal
La 0.0000 0.0000 0.2262
La 0.0000 0.0000 0.7738
Gd 0.5000 0.5000 0.5000
Pa 0.5000 0.5000 0.0000
```

=====

# 12
A plane-wave DFT calculation with PBE was carried out for crystalline CoSi2Ru at its relaxed geometry. Values from VASP.

Calculated values
Its total magnetization is 0.00 μB per formula unit. The raw formation energy is -0.400 eV/atom. Its crystal system is orthorhombic.

Cell and atoms, written as Quantum ESPRESSO input:
```
&SYSTEM
  ibrav = 0, nat = 4, ntyp = 3
/
ATOMIC_SPECIES
Co 58.93 Co.upf
Si 28.09 Si.upf
Ru 101.07 Ru.upf
CELL_PARAMETERS angstrom
2.7809 0.0000 0.0000
0.0000 4.3780 0.0000
0.0000 0.0000 4.0424
ATOMIC_POSITIONS crystal
Co 0.0000 0.0000 0.0000
Si 0.0000 0.5000 0.2693
Si 0.5000 0.0000 0.4829
Ru 0.5000 0.5000 0.7717
```